Compound: YPuSe2
Source: Alexandria
Functional: PBE
Structure: optimized geometry

**E_form (uncorrected)**: -1678 meV per atom
**ρ**: 8.27 Mg/m³
**Relative energy among the computed polymorphs**: 0 meV per atom
**Final energy**: -0.6335 Ry/atom

The structure in POSCAR format:
```
YPuSe2
1.0
4.0940 0.0000 0.0000
-2.0470 3.5455 0.0000
0.0000 0.0000 20.3737
Y Pu Se
3 3 6
direct
0.0000 0.0000 0.0000 Y
0.3333 0.6667 0.6667 Y
0.6667 0.3333 0.3333 Y
0.0000 0.0000 0.5000 Pu
0.3333 0.6667 0.1667 Pu
0.6667 0.3333 0.8333 Pu
0.0000 0.0000 0.2515 Se
0.0000 0.0000 0.7485 Se
0.3333 0.6667 0.4151 Se
0.3333 0.6667 0.9182 Se
0.6667 0.3333 0.0818 Se
0.6667 0.3333 0.5849 Se
```